The following is a DFT calculation (PBE-GGA) of a relaxed CdGaAg crystal.

Lattice parameters (Å, degrees): 3.1079 3.1079 6.9152 90.00 90.00 120.00
With the nearest neighbours (Å) after each atom.
Space group P3m1 (No. 156)
Inequivalent atoms, fractional coordinates:
Cd (0.0000, 0.0000, 0.0000) x1  3 Ag 2.96, 3 Ga 3.00, 6 Cd 3.11
Ga (0.6667, 0.3333, 0.3480) x1  3 Ag 2.80, 3 Cd 3.00, 6 Ga 3.11
Ag (0.3333, 0.6667, 0.6591) x1  3 Ga 2.80, 3 Cd 2.96, 6 Ag 3.11

Computed properties:
The total magnetization comes out at 0.0 Bohr magnetons per cell. For the density, the calculation gives 8325 kg/m³. The calculation puts the energy of formation at -0.02 eV per formula unit.

***

The following is a DFT calculation (PBE-GGA) of a relaxed Cd6GaAg4 crystal.

Lattice parameters (Å, degrees): 7.0880 7.0880 10.7076 90.00 90.00 90.00
With the nearest neighbours (Å) after each atom.
Space group I-42m (No. 121)
Inequivalent atoms, fractional coordinates:
Cd (0.0000, 0.5000, 0.0000) x4  4 Ag 2.78
Cd (0.1524, 0.1524, 0.1481) x8  4 Ag 2.75-2.95, 1 Cd 3.06
Ga (0.0000, 0.0000, 0.5000) x2  4 Ag 2.79
Ag (0.2492, 0.2492, 0.8878) x8  6 Cd 2.75-2.95, 1 Ga 2.79

Computed properties:
The total magnetization comes out at 0.0 Bohr magnetons per cell. For the density, the calculation gives 7258 kg/m³. The calculation puts the energy of formation at 1.76 eV per formula unit.